Entry 1:
The following is a DFT calculation (GGA-PBEsol) of Rb3SnSb after structural relaxation.

Unit cell a=6.856 b=6.856 c=6.856 alpha=90.00 beta=90.00 gamma=90.00
Space group Pm-3m (No. 221)
Asymmetric unit:
Rb (0.000, 0.000, 0.500) (multiplicity 3)
Sn (0.500, 0.500, 0.500) (multiplicity 1)
Sb (0.000, 0.000, 0.000) (multiplicity 1)

***

Entry 2:
The following is a DFT calculation (GGA-PBEsol) of Rb4SnSb6 after structural relaxation.

Unit cell a=14.8688 b=14.8688 c=14.3450 alpha=90.00 beta=90.00 gamma=120.00
Space group P-3 (No. 147)
Asymmetric unit:
Rb (0.0000, 0.0000, 0.0000) (multiplicity 1)
Rb (0.0000, 0.0000, 0.5000) (multiplicity 1)
Rb (0.0358, 0.3963, 0.4501) (multiplicity 6)
Rb (0.0979, 0.3266, 0.1529) (multiplicity 6)
Rb (0.1841, 0.7016, 0.8838) (multiplicity 6)
Rb (0.3333, 0.6667, 0.2031) (multiplicity 2)
Rb (0.3333, 0.6667, 0.4985) (multiplicity 2)
Sn (0.0352, 0.5442, 0.2239) (multiplicity 6)
Sb (0.0034, 0.3524, 0.9237) (multiplicity 6)
Sb (0.0469, 0.8162, 0.3529) (multiplicity 6)
Sb (0.0575, 0.2247, 0.8280) (multiplicity 6)
Sb (0.1549, 0.7100, 0.3490) (multiplicity 6)
Sb (0.1601, 0.5294, 0.6862) (multiplicity 6)
Sb (0.1678, 0.3489, 0.6634) (multiplicity 6)

***

Entry 3:
The following is a DFT calculation (GGA-PBEsol) of RbSr2TcSb after structural relaxation.

Unit cell a=6.021 b=6.021 c=5.818 alpha=90.00 beta=90.00 gamma=90.00
Space group P4/mmm (No. 123)
Asymmetric unit:
Rb (0.000, 0.000, 0.000) (multiplicity 1)
Sr (0.000, 0.500, 0.000) (multiplicity 2)
Tc (0.500, 0.500, 0.500) (multiplicity 1)
Sb (0.000, 0.000, 0.500) (multiplicity 1)

***

Entry 4:
The following is a DFT calculation (GGA-PBEsol) of RbZnSb2Te after structural relaxation.

Unit cell a=5.953 b=5.953 c=6.022 alpha=90.00 beta=90.00 gamma=90.00
Space group P4/mmm (No. 123)
Asymmetric unit:
Rb (0.000, 0.000, 0.000) (multiplicity 1)
Zn (0.500, 0.500, 0.500) (multiplicity 1)
Sb (0.000, 0.500, 0.000) (multiplicity 2)
Te (0.000, 0.000, 0.500) (multiplicity 1)

***

| no. | formation energy (no corrections) (meV/atom) |
| --- | --- |
| 1 | 251 |
| 2 | -289 |
| 3 | 1736 |
| 4 | 1419 |